No. 1
The following is a DFT calculation (GGA-PBE) of a relaxed BaTlIn2 crystal.

The calculation puts the density of states at the Fermi level at 2.52 states/eV/cell. For the total DFT energy (no corrections), the calculation gives -10.702 eV for the cell shown. The calculation puts the theoretical density at 7.0 g/cm³.

Unit cell a=5.059 b=3.895 c=6.923 alpha=80.78 beta=90.00 gamma=90.00
Fractional coordinates of all 4 atoms:
Ba 0.500 0.724 0.777
In 0.000 0.136 0.022
In 0.500 0.141 0.263
Tl 0.000 0.499 0.438

---

No. 2
The following is a DFT calculation (GGA-PBE) of a relaxed BaTlIn2 crystal.

The calculation puts the density of states at the Fermi level at 2.20 states/eV/cell. For the total DFT energy (no corrections), the calculation gives -10.667 eV for the cell shown. The calculation puts the theoretical density at 7.3 g/cm³.

Unit cell a=5.691 b=5.691 c=5.691 alpha=60.00 beta=60.00 gamma=60.00
Fractional coordinates of all 4 atoms:
Tl 0.500 0.500 0.500
Ba 0.000 0.000 0.000
In 0.250 0.250 0.250
In 0.750 0.750 0.750

---

No. 3
The following is a DFT calculation (GGA-PBE) of a relaxed Ba2Tl4In3 crystal.

The calculation puts the density of states at the Fermi level at 11.01 states/eV/cell. For the total DFT energy (no corrections), the calculation gives -47.944 eV for the cell shown. The calculation puts the theoretical density at 8.1 g/cm³.

Unit cell a=6.945 b=9.380 c=9.671 alpha=90.00 beta=111.04 gamma=90.00
Fractional coordinates of all 18 atoms:
Ba 0.113 0.587 0.225
Ba 0.887 0.413 0.775
Ba 0.387 0.087 0.775
Ba 0.613 0.913 0.225
Tl 0.694 0.750 0.887
Tl 0.806 0.250 0.113
Tl 0.306 0.250 0.113
Tl 0.194 0.750 0.887
Tl 0.179 0.973 0.358
Tl 0.821 0.027 0.642
Tl 0.321 0.473 0.642
Tl 0.679 0.527 0.358
In 0.000 0.000 0.000
In 0.500 0.500 0.000
In 0.526 0.750 0.553
In 0.974 0.250 0.447
In 0.474 0.250 0.447
In 0.026 0.750 0.553

---

No. 4
The following is a DFT calculation (GGA-PBE) of a relaxed Ba2Tl3In crystal.

The calculation puts the density of states at the Fermi level at 9.74 states/eV/cell. For the total DFT energy (no corrections), the calculation gives -31.452 eV for the cell shown. The calculation puts the theoretical density at 7.8 g/cm³.

Unit cell a=6.854 b=6.854 c=10.853 alpha=113.36 beta=113.36 gamma=75.17
Fractional coordinates of all 12 atoms:
Ba 0.750 0.250 0.500
Ba 0.755 0.245 0.000
Ba 0.250 0.750 0.500
Ba 0.245 0.755 0.000
Tl 0.830 0.830 0.168
Tl 0.661 0.661 0.832
Tl 0.170 0.170 0.832
Tl 0.339 0.339 0.168
Tl 0.169 0.169 0.338
Tl 0.831 0.831 0.662
In 0.666 0.666 0.332
In 0.334 0.334 0.668

---

No. 5
The following is a DFT calculation (GGA-PBE) of a relaxed BaTlIn crystal.

The calculation puts the density of states at the Fermi level at 1.57 states/eV/cell. For the total DFT energy (no corrections), the calculation gives -8.123 eV for the cell shown. The calculation puts the theoretical density at 7.1 g/cm³.

Unit cell a=5.315 b=5.315 c=4.361 alpha=90.00 beta=90.00 gamma=120.00
Fractional coordinates of all 3 atoms:
Tl 0.333 0.667 0.554
Ba 0.000 0.000 0.994
In 0.667 0.333 0.452

---

No. 6
The following is a DFT calculation (GGA-PBE) of a relaxed BaTlIn4 crystal.

The calculation puts the density of states at the Fermi level at 5.16 states/eV/cell. For the total DFT energy (no corrections), the calculation gives -31.887 eV for the cell shown. The calculation puts the theoretical density at 6.7 g/cm³.

Unit cell a=5.578 b=7.751 c=9.643 alpha=90.00 beta=106.81 gamma=90.00
Fractional coordinates of all 12 atoms:
Ba 0.390 0.750 0.779
Ba 0.610 0.250 0.221
Tl 0.148 0.750 0.296
Tl 0.852 0.250 0.704
In 0.247 0.432 0.495
In 0.753 0.568 0.505
In 0.247 0.068 0.495
In 0.753 0.932 0.505
In 0.578 0.750 0.155
In 0.422 0.250 0.845
In 0.000 0.500 0.000
In 0.000 0.000 0.000

---

No. 7
The following is a DFT calculation (GGA-PBE) of a relaxed BaTlIn2 crystal.

The calculation puts the density of states at the Fermi level at 1.92 states/eV/cell. For the total DFT energy (no corrections), the calculation gives -10.686 eV for the cell shown. The calculation puts the theoretical density at 7.2 g/cm³.

Unit cell a=6.144 b=6.144 c=6.144 alpha=130.40 beta=130.44 gamma=72.74
Fractional coordinates of all 4 atoms:
Ba 0.250 0.750 0.500
In 0.000 0.000 0.000
In 0.500 0.500 0.000
Tl 0.750 0.250 0.500

---

No. 8
The following is a DFT calculation (GGA-PBE) of a relaxed Ba4TlIn crystal.

The calculation puts the density of states at the Fermi level at 6.50 states/eV/cell. For the total DFT energy (no corrections), the calculation gives -14.149 eV for the cell shown. The calculation puts the theoretical density at 4.7 g/cm³.

Unit cell a=6.016 b=6.016 c=8.507 alpha=90.00 beta=90.00 gamma=90.00
Fractional coordinates of all 6 atoms:
Ba 0.501 0.997 0.248
Ba 0.501 0.998 0.748
Ba 0.001 0.497 0.748
Ba 0.001 0.497 0.248
Tl 0.001 0.997 0.498
In 0.501 0.497 0.998